KCoTe2 after structural relaxation, computed with GGA-PBE.

Results
Magnetization in μB per atom: 0.00
Raw formation energy in meV per atom: -222.1
Crystal system: trigonal

Geometry as extended XYZ:
```
4
Lattice="1.9524 1.1272 9.3722 -1.9524 1.1272 9.3722 0.0000 -2.2544 9.3722" Properties=species:S:1:pos:R:3 pbc="T T T"
K 0.0000 0.0000 0.0000
Co 0.0000 0.0000 14.0582
Te 0.0000 0.0000 3.4071
Te 0.0000 0.0000 24.7094
```